A crystal of Tb12Al7Si relaxed with PBEsol, computed with SCAN. Values from VASP.

Space group   I4/mcm

Quantum ESPRESSO input file:
```
&SYSTEM
  ibrav = 0, nat = 40, ntyp = 3
/
ATOMIC_SPECIES
Tb 158.93 Tb.upf
Al 26.98 Al.upf
Si 28.09 Si.upf
ATOMIC_POSITIONS angstrom
Tb 1.208 2.721 1.094
Tb 6.728 6.720 -2.880
Tb 5.772 1.791 4.693
Tb -1.416 7.536 5.601
Tb 3.893 8.587 -3.135
Tb -0.005 5.266 3.258
Tb 4.414 7.054 3.921
Tb 4.781 7.261 0.225
Tb 0.078 4.320 6.724
Tb 0.809 0.690 6.369
Tb 8.611 -0.740 3.934
Tb -1.075 8.150 -0.445
Tb 5.965 -0.055 1.662
Tb 3.122 0.355 -0.432
Tb 7.458 3.090 -3.235
Tb 8.952 -0.126 -2.112
Tb 1.765 5.619 -1.204
Tb 2.755 0.148 3.264
Tb 2.937 3.657 4.437
Tb 6.328 4.689 2.395
Tb 3.644 -1.177 6.625
Tb 1.571 7.464 1.828
Tb 7.542 2.144 0.231
Tb 4.600 3.753 -0.948
Al 1.876 8.621 -0.886
Al 5.814 0.838 -1.879
Al 8.402 2.240 3.128
Al 3.264 4.965 1.653
Al 5.660 -1.211 4.376
Al 0.000 0.000 0.000
Al 7.295 5.021 -0.447
Al -0.989 8.754 2.790
Al 4.273 2.445 1.836
Al 1.723 6.572 5.368
Al 3.902 5.441 -3.541
Al -0.866 5.170 0.361
Al 8.525 -1.345 0.699
Al 0.241 2.389 3.937
Si 5.853 8.162 -5.311
Si 1.951 2.721 -1.770
CELL_PARAMETERS angstrom
-0.267 -3.472 10.571
9.872 0.120 -5.138
-2.069 10.762 -1.944
```


A crystal of Tb2Al3Si2 relaxed with PBEsol, computed with SCAN. Values from VASP.

Space group   C2/m

Quantum ESPRESSO input file:
```
&SYSTEM
  ibrav = 0, nat = 7, ntyp = 3
/
ATOMIC_SPECIES
Al 26.98 Al.upf
Si 28.09 Si.upf
Tb 158.93 Tb.upf
ATOMIC_POSITIONS angstrom
Al -4.088 2.093 3.851
Al -1.479 -2.180 1.525
Al 0.000 0.000 0.000
Si -1.563 1.659 3.434
Si -4.003 -1.747 1.942
Tb -2.775 0.652 0.945
Tb -2.792 -0.739 4.431
CELL_PARAMETERS angstrom
-3.388 0.911 -1.983
-0.321 -4.871 2.406
-1.857 3.873 4.952
```


A crystal of Al2SiTc relaxed with PBEsol, computed with SCAN. Values from VASP.

Space group   C2/m

Quantum ESPRESSO input file:
```
&SYSTEM
  ibrav = 0, nat = 4, ntyp = 3
/
ATOMIC_SPECIES
Tc 98.00 Tc.upf
Al 26.98 Al.upf
Si 28.09 Si.upf
ATOMIC_POSITIONS angstrom
Tc 0.000 2.205 -0.002
Al 0.000 0.864 2.341
Al 1.412 3.031 2.186
Si 1.412 0.000 0.000
CELL_PARAMETERS angstrom
2.824 0.000 0.000
0.000 4.410 -0.004
-1.412 -0.515 4.531
```


A crystal of AlSiTc2 relaxed with PBEsol, computed with SCAN. Values from VASP.

Distance to the lowest polymorph of the same formula   343 meV/atom
Space group   F-43m

Quantum ESPRESSO input file:
```
&SYSTEM
  ibrav = 0, nat = 4, ntyp = 3
/
ATOMIC_SPECIES
Si 28.09 Si.upf
Al 26.98 Al.upf
Tc 98.00 Tc.upf
ATOMIC_POSITIONS angstrom
Si -0.492 -2.544 0.227
Al -0.983 -5.087 0.455
Tc -1.475 -7.631 0.682
Tc 0.000 0.000 0.000
CELL_PARAMETERS angstrom
-2.853 -2.881 1.263
-0.409 -3.656 -2.122
1.295 -3.638 1.768
```


A crystal of AlSiTc2 relaxed with PBEsol, computed with SCAN. Values from VASP.

Distance to the lowest polymorph of the same formula   0 meV/atom
Space group   P4/mmm

Quantum ESPRESSO input file:
```
&SYSTEM
  ibrav = 0, nat = 4, ntyp = 3
/
ATOMIC_SPECIES
Si 28.09 Si.upf
Al 26.98 Al.upf
Tc 98.00 Tc.upf
ATOMIC_POSITIONS angstrom
Si -0.039 -1.458 -0.309
Al 1.209 -2.048 2.319
Tc -0.722 -0.390 1.932
Tc 1.970 -0.200 0.696
CELL_PARAMETERS angstrom
-0.077 -2.916 -0.618
3.940 -0.399 1.393
-1.445 -0.781 3.863
```


A crystal of AlSiTc2 relaxed with PBEsol, computed with SCAN. Values from VASP.

Distance to the lowest polymorph of the same formula   228 meV/atom
Space group   I-4m2

Quantum ESPRESSO input file:
```
&SYSTEM
  ibrav = 0, nat = 4, ntyp = 3
/
ATOMIC_SPECIES
Tc 98.00 Tc.upf
Al 26.98 Al.upf
Si 28.09 Si.upf
ATOMIC_POSITIONS angstrom
Tc 1.842 0.000 1.996
Tc 0.000 0.000 0.000
Al 1.842 1.842 0.000
Si 0.000 1.842 1.996
CELL_PARAMETERS angstrom
3.683 0.000 0.000
0.000 3.683 0.000
-1.842 -1.842 3.991
```


A crystal of AlSiTc2 relaxed with PBEsol, computed with SCAN. Values from VASP.

Distance to the lowest polymorph of the same formula   203 meV/atom
Space group   C2/m

Quantum ESPRESSO input file:
```
&SYSTEM
  ibrav = 0, nat = 4, ntyp = 3
/
ATOMIC_SPECIES
Tc 98.00 Tc.upf
Si 28.09 Si.upf
Al 26.98 Al.upf
ATOMIC_POSITIONS angstrom
Tc -1.544 -1.251 -0.363
Tc -3.729 -0.750 1.483
Si -0.861 1.124 -0.213
Al -1.140 -0.482 2.061
CELL_PARAMETERS angstrom
-1.722 2.249 -0.427
-1.270 -3.286 -2.575
-2.281 -0.964 4.122
```


A crystal of TiAl2Si2 relaxed with PBEsol, computed with SCAN. Values from VASP.

Space group   P4/mbm

Quantum ESPRESSO input file:
```
&SYSTEM
  ibrav = 0, nat = 10, ntyp = 3
/
ATOMIC_SPECIES
Al 26.98 Al.upf
Ti 47.87 Ti.upf
Si 28.09 Si.upf
ATOMIC_POSITIONS angstrom
Al -1.542 -1.065 -2.381
Al -1.226 -2.892 -5.324
Al -2.539 -5.689 -3.728
Al -2.855 -3.862 -0.786
Ti -0.409 -3.869 -2.574
Ti 0.000 0.000 0.000
Si 0.570 -1.837 -3.814
Si -0.201 -5.277 -4.718
Si -0.616 -2.461 -0.430
Si -1.387 -5.901 -1.335
CELL_PARAMETERS angstrom
-3.264 0.984 -0.962
1.357 -1.608 -6.253
-2.174 -6.130 1.105
```


A crystal of Al2TlSi2 relaxed with PBEsol, computed with SCAN. Values from VASP.

Space group   I4/mmm

Quantum ESPRESSO input file:
```
&SYSTEM
  ibrav = 0, nat = 5, ntyp = 3
/
ATOMIC_SPECIES
Al 26.98 Al.upf
Si 28.09 Si.upf
Tl 204.38 Tl.upf
ATOMIC_POSITIONS angstrom
Al -2.265 -1.076 2.170
Al -0.580 1.487 2.907
Si 0.073 -0.976 3.224
Si -2.918 1.387 1.854
Tl 0.000 0.000 0.000
CELL_PARAMETERS angstrom
-0.685 -3.978 1.898
2.686 1.146 3.372
-4.846 3.243 -0.192
```


A crystal of Al2TlSi relaxed with PBEsol, computed with SCAN. Values from VASP.

Distance to the lowest polymorph of the same formula   112 meV/atom
Space group   P4/mmm

Quantum ESPRESSO input file:
```
&SYSTEM
  ibrav = 0, nat = 4, ntyp = 3
/
ATOMIC_SPECIES
Al 26.98 Al.upf
Tl 204.38 Tl.upf
Si 28.09 Si.upf
ATOMIC_POSITIONS angstrom
Al 0.000 2.291 0.000
Al 0.000 0.000 2.291
Tl 1.825 0.000 0.000
Si 1.825 2.291 2.291
CELL_PARAMETERS angstrom
3.650 0.000 0.000
0.000 4.582 0.000
0.000 0.000 4.582
```


A crystal of AlTl4Si relaxed with PBEsol, computed with SCAN. Values from VASP.

Space group   F-43m

Quantum ESPRESSO input file:
```
&SYSTEM
  ibrav = 0, nat = 6, ntyp = 3
/
ATOMIC_SPECIES
Al 26.98 Al.upf
Tl 204.38 Tl.upf
Si 28.09 Si.upf
ATOMIC_POSITIONS angstrom
Al 9.222 5.324 3.765
Tl 4.608 2.660 1.881
Tl 6.148 3.549 4.396
Tl 6.148 5.328 1.881
Tl 7.688 2.660 1.881
Si 0.000 0.000 0.000
CELL_PARAMETERS angstrom
6.148 0.000 0.000
3.074 5.324 0.000
3.074 1.775 5.020
```


A crystal of Al2TlSi relaxed with PBEsol, computed with SCAN. Values from VASP.

Distance to the lowest polymorph of the same formula   92 meV/atom
Space group   I-4m2

Quantum ESPRESSO input file:
```
&SYSTEM
  ibrav = 0, nat = 4, ntyp = 3
/
ATOMIC_SPECIES
Tl 204.38 Tl.upf
Si 28.09 Si.upf
Al 26.98 Al.upf
ATOMIC_POSITIONS angstrom
Tl 1.893 -1.829 1.676
Si -0.245 -2.783 -0.388
Al 0.000 0.000 0.000
Al -0.805 -1.705 2.487
CELL_PARAMETERS angstrom
-2.943 -2.658 0.423
2.453 -2.907 -1.199
1.579 2.031 4.939
```


A crystal of AlTlSi2 relaxed with PBEsol, computed with SCAN. Values from VASP.

Space group   P4mm

Quantum ESPRESSO input file:
```
&SYSTEM
  ibrav = 0, nat = 4, ntyp = 3
/
ATOMIC_SPECIES
Tl 204.38 Tl.upf
Si 28.09 Si.upf
Al 26.98 Al.upf
ATOMIC_POSITIONS angstrom
Tl 3.038 1.626 0.751
Si 0.136 0.073 0.033
Si 0.030 1.568 2.100
Al 3.901 3.639 3.056
CELL_PARAMETERS angstrom
-1.634 2.819 0.509
-0.366 -0.786 3.182
6.070 3.248 1.500
```


Let's list magnetization in order: 0.000; 0.000; 0.198; 0.000; 0.000; 0.001; 0.000; 0.000; 0.000; 0.000; 0.000; 0.000; 0.000 μB/atom.
Let's list energy relative to the elements, uncorrected in order: -403; -573; -143; -98; -442; -214; -239; -122; 160; 463; 691; 443; 437 meV per atom.